The following is a PBE-GGA calculation of a geometry-optimized Mn3NbRh structure, from Alexandria via LeMat-Bulk.

Values from the calculation:
Calculated total energy, Ha/atom: -0.263
Total magnetization, Bohr magnetons per cell: 0.116
Formation enthalpy at 0 K, kJ/mol of atoms: 176.9

Unit cell a=4.3812 b=4.3812 c=4.3812 alpha=90.00 beta=90.00 gamma=90.00
Closest atoms and distances in Å follow each position.
Fractional positions:
Mn: 0.0000 0.0000 0.5000  2 Nb 2.19
Mn: 0.0000 0.5000 0.0000  2 Nb 2.19
Mn: 0.5000 0.0000 0.0000  2 Nb 2.19
Nb: 0.0000 0.0000 0.0000  6 Mn 2.19
Rh: 0.5000 0.5000 0.5000  12 Mn 3.10